No. 1
Here is a relaxed structure of NaCuIrSeS2 from the Open Quantum Materials Database. Energies are from PBE-GGA.

Geometry as CIF:
```
data_NaCuIrSeS2
_cell_length_a 3.618
_cell_length_b 13.321
_cell_length_c 9.464
_cell_angle_alpha 90.00
_cell_angle_beta 90.00
_cell_angle_gamma 90.00
_space_group_name_H-M_alt 'C m c m'
_space_group_IT_number 63
_space_group_name_Hall '-C 2c 2'
loop_
_atom_site_label
_atom_site_type_symbol
_atom_site_fract_x
_atom_site_fract_y
_atom_site_fract_z
Na1 Na 0.000 0.236 0.250
Cu1 Cu 0.000 0.456 0.750
Ir1 Ir 0.000 0.000 0.000
Se1 Se 0.000 0.081 0.750
S1 S 0.000 0.382 0.538
```

E_tot = -4.6711 eV/atom

---

No. 2
Here is a relaxed structure of Li4Zn2AgAu from the Open Quantum Materials Database. Energies are from PBE-GGA.

Geometry as CIF:
```
data_Li4Zn2AgAu
_cell_length_a 4.377
_cell_length_b 4.377
_cell_length_c 6.188
_cell_angle_alpha 90.00
_cell_angle_beta 90.00
_cell_angle_gamma 90.00
_space_group_name_H-M_alt 'P -4 m 2'
_space_group_IT_number 115
loop_
_space_group_symop_operation_xyz
'x,y,z'
'y,-x,-z'
'-x,-y,z'
'-y,x,-z'
'-x,y,z'
'-y,-x,-z'
'x,-y,z'
'y,x,-z'
loop_
_atom_site_label
_atom_site_type_symbol
_atom_site_fract_x
_atom_site_fract_y
_atom_site_fract_z
Li1 Li 0.000 0.000 0.000
Li2 Li 0.000 0.500 0.249
Li3 Li 0.500 0.500 0.500
Zn1 Zn 0.000 0.500 0.750
Ag1 Ag 0.000 0.000 0.500
Au1 Au 0.500 0.500 0.000
```

E_tot = -2.3579 eV/atom

---

No. 3
Here is a relaxed structure of NaHoSiTe3 from the Open Quantum Materials Database. Energies are from PBE-GGA.

Geometry as CIF:
```
data_NaHoSiTe3
_cell_length_a 4.580
_cell_length_b 14.417
_cell_length_c 11.388
_cell_angle_alpha 90.00
_cell_angle_beta 90.00
_cell_angle_gamma 90.00
_space_group_name_H-M_alt 'C m c m'
_space_group_IT_number 63
_space_group_name_Hall '-C 2c 2'
loop_
_atom_site_label
_atom_site_type_symbol
_atom_site_fract_x
_atom_site_fract_y
_atom_site_fract_z
Na1 Na 0.000 0.233 0.250
Ho1 Ho 0.000 0.000 0.000
Si1 Si 0.000 0.484 0.750
Te1 Te 0.000 0.096 0.750
Te2 Te 0.000 0.362 0.563
```

E_tot = -4.0775 eV/atom

---

No. 4
Here is a relaxed structure of Tm2Si2O5 from the Open Quantum Materials Database. Energies are from PBE-GGA.

Geometry as CIF:
```
data_Tm2Si2O5
_cell_length_a 3.860
_cell_length_b 3.860
_cell_length_c 6.290
_cell_angle_alpha 90.00
_cell_angle_beta 90.00
_cell_angle_gamma 90.00
_space_group_name_H-M_alt 'P 4/m m m'
_space_group_IT_number 123
_space_group_name_Hall '-P 4 2'
loop_
_atom_site_label
_atom_site_type_symbol
_atom_site_fract_x
_atom_site_fract_y
_atom_site_fract_z
Tm1 Tm 0.000 0.000 0.000
Tm2 Tm 0.000 0.000 0.500
Si1 Si 0.500 0.500 0.217
O1 O 0.000 0.500 0.239
O2 O 0.500 0.500 0.500
```

E_tot = -7.1019 eV/atom

---

No. 5
Here is a relaxed structure of PrMgCuS3 from the Open Quantum Materials Database. Energies are from PBE-GGA.

Geometry as CIF:
```
data_PrMgCuS3
_cell_length_a 3.768
_cell_length_b 12.148
_cell_length_c 10.735
_cell_angle_alpha 90.00
_cell_angle_beta 90.00
_cell_angle_gamma 90.00
_space_group_name_H-M_alt 'C m c m'
_space_group_IT_number 63
_space_group_name_Hall '-C 2c 2'
loop_
_atom_site_label
_atom_site_type_symbol
_atom_site_fract_x
_atom_site_fract_y
_atom_site_fract_z
Pr1 Pr 0.000 0.000 0.000
Mg1 Mg 0.000 0.236 0.250
Cu1 Cu 0.000 0.479 0.750
S1 S 0.000 0.099 0.750
S2 S 0.000 0.348 0.593
```

E_tot = -4.9827 eV/atom

---

No. 6
Here is a relaxed structure of Fe3Ge5S from the Open Quantum Materials Database. Energies are from PBE-GGA.

Geometry as CIF:
```
data_Fe3Ge5S
_cell_length_a 5.621
_cell_length_b 5.668
_cell_length_c 5.645
_cell_angle_alpha 90.00
_cell_angle_beta 90.81
_cell_angle_gamma 90.00
_space_group_name_H-M_alt 'P 1 2 1'
_space_group_IT_number 3
loop_
_space_group_symop_operation_xyz
'x,y,z'
'-x,y,-z'
loop_
_atom_site_label
_atom_site_type_symbol
_atom_site_fract_x
_atom_site_fract_y
_atom_site_fract_z
Fe1 Fe 0.000 0.000 0.000
Fe2 Fe 0.000 0.492 0.500
Fe3 Fe 0.500 0.494 0.000
Ge1 Ge 0.000 0.478 0.000
Ge2 Ge 0.255 0.750 0.256
Ge3 Ge 0.263 0.232 0.738
S1 S 0.500 0.989 0.500
```

E_tot = -5.3206 eV/atom

---

No. 7
Here is a relaxed structure of LaDy2Al3Cu2Ni from the Open Quantum Materials Database. Energies are from PBE-GGA.

Geometry as CIF:
```
data_LaDy2Al3Cu2Ni
_cell_length_a 4.049
_cell_length_b 12.125
_cell_length_c 7.120
_cell_angle_alpha 90.00
_cell_angle_beta 90.00
_cell_angle_gamma 90.00
_space_group_name_H-M_alt 'A m m 2'
_space_group_IT_number 38
loop_
_space_group_symop_operation_xyz
'x,y,z'
'-x,-y,z'
'-x,y,z'
'x,-y,z'
'x,y+1/2,z+1/2'
'-x,-y+1/2,z+1/2'
'-x,y+1/2,z+1/2'
'x,-y+1/2,z+1/2'
loop_
_atom_site_label
_atom_site_type_symbol
_atom_site_fract_x
_atom_site_fract_y
_atom_site_fract_z
La1 La 0.000 0.000 0.000
Dy1 Dy 0.000 0.206 0.619
Al1 Al 0.500 0.000 0.640
Al2 Al 0.500 0.116 0.304
Cu1 Cu 0.500 0.172 0.912
Ni1 Ni 0.000 0.000 0.421
```

E_tot = -4.7314 eV/atom

---

No. 8
Here is a relaxed structure of HgPbSO from the Open Quantum Materials Database. Energies are from PBE-GGA.

Geometry as CIF:
```
data_HgPbSO
_cell_length_a 5.086
_cell_length_b 5.086
_cell_length_c 7.885
_cell_angle_alpha 90.00
_cell_angle_beta 90.00
_cell_angle_gamma 90.00
_space_group_name_H-M_alt 'P 4/n m m'
_space_group_IT_number 129
loop_
_space_group_symop_operation_xyz
'x,y,z'
'-x,-y,-z'
'-y+1/2,x,z'
'y+1/2,-x,-z'
'-x+1/2,-y+1/2,z'
'x+1/2,y+1/2,-z'
'y,-x+1/2,z'
'-y,x+1/2,-z'
'x+1/2,-y,-z'
'-x+1/2,y,z'
'-y,-x,-z'
'y,x,z'
'-x,y+1/2,-z'
'x,-y+1/2,z'
'y+1/2,x+1/2,-z'
'-y+1/2,-x+1/2,z'
loop_
_atom_site_label
_atom_site_type_symbol
_atom_site_fract_x
_atom_site_fract_y
_atom_site_fract_z
Hg1 Hg 0.250 0.250 0.173
Pb1 Pb 0.250 0.250 0.645
S1 S 0.250 0.750 0.500
O1 O 0.250 0.250 0.910
```

E_tot = -3.2946 eV/atom

---

No. 9
Here is a relaxed structure of BaAlSn2Au from the Open Quantum Materials Database. Energies are from PBE-GGA.

Geometry as CIF:
```
data_BaAlSn2Au
_cell_length_a 4.866
_cell_length_b 4.866
_cell_length_c 11.342
_cell_angle_alpha 90.00
_cell_angle_beta 90.00
_cell_angle_gamma 90.00
_space_group_name_H-M_alt 'I 4 m m'
_space_group_IT_number 107
_space_group_name_Hall 'I 4 -2'
loop_
_atom_site_label
_atom_site_type_symbol
_atom_site_fract_x
_atom_site_fract_y
_atom_site_fract_z
Ba1 Ba 0.000 0.000 0.000
Al1 Al 0.000 0.000 0.609
Sn1 Sn 0.000 0.500 0.250
Au1 Au 0.000 0.000 0.387
```

E_tot = -3.9180 eV/atom

---

No. 10
Here is a relaxed structure of Cs2La4Cu4Se9 from the Open Quantum Materials Database. Energies are from PBE-GGA.

Geometry as CIF:
```
data_Cs2La4Cu4Se9
_cell_length_a 14.971
_cell_length_b 4.285
_cell_length_c 17.403
_cell_angle_alpha 90.00
_cell_angle_beta 108.31
_cell_angle_gamma 90.00
_space_group_name_H-M_alt 'C 1 2/m 1'
_space_group_IT_number 12
loop_
_space_group_symop_operation_xyz
'x,y,z'
'-x,-y,-z'
'-x,y,-z'
'x,-y,z'
'x+1/2,y+1/2,z'
'-x+1/2,-y+1/2,-z'
'-x+1/2,y+1/2,-z'
'x+1/2,-y+1/2,z'
loop_
_atom_site_label
_atom_site_type_symbol
_atom_site_fract_x
_atom_site_fract_y
_atom_site_fract_z
Cs1 Cs 0.028 0.000 0.269
La1 La 0.154 0.500 0.554
La2 La 0.230 0.000 0.102
Cu1 Cu 0.072 0.500 0.968
Cu2 Cu 0.243 0.000 0.724
Se1 Se 0.000 0.000 0.500
Se2 Se 0.101 0.500 0.121
Se3 Se 0.135 0.000 0.926
Se4 Se 0.162 0.500 0.724
Se5 Se 0.202 0.500 0.397
```

E_tot = -4.9081 eV/atom

---

No. 11
Here is a relaxed structure of Er4CBr3Cl2 from the Open Quantum Materials Database. Energies are from PBE-GGA.

Geometry as CIF:
```
data_Er4CBr3Cl2
_cell_length_a 17.022
_cell_length_b 3.746
_cell_length_c 8.039
_cell_angle_alpha 90.00
_cell_angle_beta 103.13
_cell_angle_gamma 90.00
_space_group_name_H-M_alt 'C 1 2/m 1'
_space_group_IT_number 12
loop_
_space_group_symop_operation_xyz
'x,y,z'
'-x,-y,-z'
'-x,y,-z'
'x,-y,z'
'x+1/2,y+1/2,z'
'-x+1/2,-y+1/2,-z'
'-x+1/2,y+1/2,-z'
'x+1/2,-y+1/2,z'
loop_
_atom_site_label
_atom_site_type_symbol
_atom_site_fract_x
_atom_site_fract_y
_atom_site_fract_z
Er1 Er 0.002 0.000 0.301
Er2 Er 0.142 0.500 0.572
C1 C 0.000 0.500 0.500
Br1 Br 0.000 0.500 0.000
Br2 Br 0.169 0.000 0.840
Cl1 Cl 0.171 0.000 0.346
```

E_tot = -5.1343 eV/atom

---

No. 12
Here is a relaxed structure of KHfZr from the Open Quantum Materials Database. Energies are from PBE-GGA.

Geometry as CIF:
```
data_KHfZr
_cell_length_a 7.533
_cell_length_b 7.533
_cell_length_c 7.533
_cell_angle_alpha 90.00
_cell_angle_beta 90.00
_cell_angle_gamma 90.00
_space_group_name_H-M_alt 'F -4 3 m'
_space_group_IT_number 216
_space_group_name_Hall 'F -4 2 3'
loop_
_atom_site_label
_atom_site_type_symbol
_atom_site_fract_x
_atom_site_fract_y
_atom_site_fract_z
K1 K 0.000 0.000 0.000
Hf1 Hf 0.250 0.250 0.250
Zr1 Zr 0.000 0.000 0.500
```

E_tot = -4.7303 eV/atom

---

No. 13
Here is a relaxed structure of Li8Os4O11 from the Open Quantum Materials Database. Energies are from PBE-GGA.

Geometry as CIF:
```
data_Li8Os4O11
_cell_length_a 4.836
_cell_length_b 5.167
_cell_length_c 8.861
_cell_angle_alpha 73.51
_cell_angle_beta 87.81
_cell_angle_gamma 80.64
_space_group_name_H-M_alt 'P 1'
_space_group_IT_number 1
loop_
_space_group_symop_operation_xyz
'x,y,z'
loop_
_atom_site_label
_atom_site_type_symbol
_atom_site_fract_x
_atom_site_fract_y
_atom_site_fract_z
Li1 Li 0.000 0.000 0.000
Li2 Li 0.003 0.001 0.322
Li3 Li 0.007 0.006 0.676
Li4 Li 0.260 0.502 0.247
Li5 Li 0.490 0.016 0.492
Li6 Li 0.501 0.007 0.830
Li7 Li 0.505 0.998 0.167
Li8 Li 0.740 0.489 0.749
Os1 Os 0.221 0.500 0.923
Os2 Os 0.246 0.506 0.565
Os3 Os 0.753 0.513 0.438
Os4 Os 0.777 0.502 0.076
O1 O 0.114 0.255 0.454
O2 O 0.124 0.276 0.779
O3 O 0.136 0.235 0.127
O4 O 0.357 0.721 0.712
O5 O 0.382 0.770 0.373
O6 O 0.388 0.732 0.040
O7 O 0.612 0.272 0.956
O8 O 0.630 0.234 0.627
O9 O 0.640 0.283 0.279
O10 O 0.864 0.765 0.867
O11 O 0.879 0.728 0.218
```

E_tot = -6.3654 eV/atom

---

No. 14
Here is a relaxed structure of BeZnPdPb from the Open Quantum Materials Database. Energies are from PBE-GGA.

Geometry as CIF:
```
data_BeZnPdPb
_cell_length_a 6.518
_cell_length_b 6.518
_cell_length_c 6.518
_cell_angle_alpha 90.00
_cell_angle_beta 90.00
_cell_angle_gamma 90.00
_space_group_name_H-M_alt 'F -4 3 m'
_space_group_IT_number 216
_space_group_name_Hall 'F -4 2 3'
loop_
_atom_site_label
_atom_site_type_symbol
_atom_site_fract_x
_atom_site_fract_y
_atom_site_fract_z
Be1 Be 0.000 0.000 0.000
Zn1 Zn 0.250 0.250 0.750
Pd1 Pd 0.000 0.000 0.500
Pb1 Pb 0.250 0.250 0.250
```

E_tot = -3.2027 eV/atom

---

No. 15
Here is a relaxed structure of RbBeCd from the Open Quantum Materials Database. Energies are from PBE-GGA.

Geometry as CIF:
```
data_RbBeCd
_cell_length_a 7.529
_cell_length_b 7.529
_cell_length_c 7.529
_cell_angle_alpha 90.00
_cell_angle_beta 90.00
_cell_angle_gamma 90.00
_space_group_name_H-M_alt 'F -4 3 m'
_space_group_IT_number 216
_space_group_name_Hall 'F -4 2 3'
loop_
_atom_site_label
_atom_site_type_symbol
_atom_site_fract_x
_atom_site_fract_y
_atom_site_fract_z
Rb1 Rb 0.000 0.000 0.000
Be1 Be 0.000 0.000 0.500
Cd1 Cd 0.250 0.250 0.750
```

E_tot = -0.9536 eV/atom

---

No. 16
Here is a relaxed structure of Ni5Au from the Open Quantum Materials Database. Energies are from PBE-GGA.

Geometry as CIF:
```
data_Ni5Au
_cell_length_a 6.618
_cell_length_b 6.618
_cell_length_c 6.618
_cell_angle_alpha 90.00
_cell_angle_beta 90.00
_cell_angle_gamma 90.00
_space_group_name_H-M_alt 'F -4 3 m'
_space_group_IT_number 216
_space_group_name_Hall 'F -4 2 3'
loop_
_atom_site_label
_atom_site_type_symbol
_atom_site_fract_x
_atom_site_fract_y
_atom_site_fract_z
Ni1 Ni 0.000 0.000 0.000
Ni2 Ni 0.125 0.125 0.375
Au1 Au 0.250 0.250 0.750
```

formation energy from the elements = 15.1 kJ per mole of atoms

---

No. 17
Here is a relaxed structure of TlGe2Au2 from the Open Quantum Materials Database. Energies are from PBE-GGA.

Geometry as CIF:
```
data_TlGe2Au2
_cell_length_a 4.600
_cell_length_b 4.600
_cell_length_c 10.794
_cell_angle_alpha 90.00
_cell_angle_beta 90.00
_cell_angle_gamma 90.00
_space_group_name_H-M_alt 'I 4/m m m'
_space_group_IT_number 139
_space_group_name_Hall '-I 4 2'
loop_
_atom_site_label
_atom_site_type_symbol
_atom_site_fract_x
_atom_site_fract_y
_atom_site_fract_z
Tl1 Tl 0.000 0.000 0.000
Ge1 Ge 0.000 0.000 0.374
Au1 Au 0.000 0.500 0.250
```

E_tot = -3.6137 eV/atom

---

No. 18
Here is a relaxed structure of Pt from the Open Quantum Materials Database. Energies are from PBE-GGA.

Geometry as CIF:
```
data_Pt
_cell_length_a 3.961
_cell_length_b 3.961
_cell_length_c 3.961
_cell_angle_alpha 90.00
_cell_angle_beta 90.00
_cell_angle_gamma 90.00
_space_group_name_H-M_alt 'F m -3 m'
_space_group_IT_number 225
_space_group_name_Hall '-F 4 2 3'
loop_
_atom_site_label
_atom_site_type_symbol
_atom_site_fract_x
_atom_site_fract_y
_atom_site_fract_z
Pt1 Pt 0.000 0.000 0.000
```

formation energy from the elements = 0.0 kJ per mole of atoms

---

No. 19
Here is a relaxed structure of Sm2Re2C3 from the Open Quantum Materials Database. Energies are from PBE-GGA.

Geometry as CIF:
```
data_Sm2Re2C3
_cell_length_a 11.990
_cell_length_b 3.373
_cell_length_c 5.797
_cell_angle_alpha 90.00
_cell_angle_beta 115.59
_cell_angle_gamma 90.00
_space_group_name_H-M_alt 'C 1 2/m 1'
_space_group_IT_number 12
loop_
_space_group_symop_operation_xyz
'x,y,z'
'-x,-y,-z'
'-x,y,-z'
'x,-y,z'
'x+1/2,y+1/2,z'
'-x+1/2,-y+1/2,-z'
'-x+1/2,y+1/2,-z'
'x+1/2,-y+1/2,z'
loop_
_atom_site_label
_atom_site_type_symbol
_atom_site_fract_x
_atom_site_fract_y
_atom_site_fract_z
Sm1 Sm 0.107 0.000 0.313
Re1 Re 0.159 0.500 0.820
C1 C 0.000 0.500 0.500
C2 C 0.250 0.000 0.773
```

E_tot = -9.0836 eV/atom